# 1
DFT (GGA-PBE) results for Tl3SI after structural relaxation. Values from VASP.

space group	Pm-3m (221)
formation energy (no corrections)	0.2819	eV per atom

The structure in Quantum ESPRESSO input format:
```
&SYSTEM
  ibrav = 0, nat = 5, ntyp = 3
/
ATOMIC_SPECIES
I 126.90 I.upf
Tl 204.38 Tl.upf
S 32.06 S.upf
CELL_PARAMETERS angstrom
-0.704 -3.663 -5.155
5.885 -2.278 0.814
-2.314 -4.678 3.640
ATOMIC_POSITIONS angstrom
I 0.000 0.000 0.000
Tl -0.352 -1.831 -2.578
Tl 2.943 -1.139 0.407
Tl -1.157 -2.339 1.820
S 1.434 -5.309 -0.351
```

---

# 2
DFT (GGA-PBE) results for RbPuTl2F8 after structural relaxation. Values from VASP.

space group	I-4m2 (119)
formation energy (no corrections)	-2.6889	eV per atom

The structure in Quantum ESPRESSO input format:
```
&SYSTEM
  ibrav = 0, nat = 12, ntyp = 4
/
ATOMIC_SPECIES
F 19.00 F.upf
Tl 204.38 Tl.upf
Pu 244.00 Pu.upf
Rb 85.47 Rb.upf
CELL_PARAMETERS angstrom
6.189 0.000 0.000
0.000 6.189 0.000
-3.094 -3.094 6.132
ATOMIC_POSITIONS angstrom
F 1.283 1.823 4.344
F 1.271 4.377 1.788
F -1.283 -1.823 4.344
F 4.917 1.812 1.788
F 1.283 -1.823 4.344
F 4.917 4.377 1.788
F -1.283 1.823 4.344
F 1.271 1.812 1.788
Tl 0.000 0.000 0.000
Tl 3.094 0.000 3.066
Pu 0.000 3.094 3.066
Rb 3.094 3.094 0.000
```

---

# 3
DFT (GGA-PBE) results for HfTi5Si2 after structural relaxation. Values from VASP.

space group	Immm (71)
formation energy (no corrections)	-0.3819	eV per atom

The structure in Quantum ESPRESSO input format:
```
&SYSTEM
  ibrav = 0, nat = 8, ntyp = 3
/
ATOMIC_SPECIES
Ti 47.87 Ti.upf
Hf 178.49 Hf.upf
Si 28.09 Si.upf
CELL_PARAMETERS angstrom
3.295 0.000 0.000
1.648 6.415 -0.459
1.648 1.492 6.256
ATOMIC_POSITIONS angstrom
Ti 3.295 1.823 3.469
Ti 3.295 3.857 0.695
Ti 3.295 4.050 5.102
Ti 1.648 3.954 2.898
Ti 3.295 6.084 2.327
Hf 0.000 0.000 0.000
Si 4.943 6.062 4.444
Si 1.648 1.845 1.353
```

---

# 4
DFT (GGA-PBE) results for Sr2CaMg after structural relaxation. Values from VASP.

space group	R3m (160)

The structure in Quantum ESPRESSO input format:
```
&SYSTEM
  ibrav = 0, nat = 4, ntyp = 3
/
ATOMIC_SPECIES
Ca 40.08 Ca.upf
Mg 24.30 Mg.upf
Sr 87.62 Sr.upf
CELL_PARAMETERS angstrom
4.067 0.000 0.000
2.034 3.522 0.000
2.034 1.174 12.298
ATOMIC_POSITIONS angstrom
Ca 4.067 2.348 6.144
Mg 4.067 2.348 0.001
Sr 2.034 1.174 2.791
Sr 2.034 1.174 9.512
```

---

# 5
DFT (GGA-PBE) results for NaTl2Sn2 after structural relaxation. Values from VASP.

space group	C2/m (12)

The structure in Quantum ESPRESSO input format:
```
&SYSTEM
  ibrav = 0, nat = 5, ntyp = 3
/
ATOMIC_SPECIES
Tl 204.38 Tl.upf
Sn 118.71 Sn.upf
Na 22.99 Na.upf
CELL_PARAMETERS angstrom
-3.159 0.820 -0.558
1.132 0.665 -5.435
1.928 -8.916 2.188
ATOMIC_POSITIONS angstrom
Tl 0.306 -4.771 -0.520
Tl -0.404 -2.660 -3.286
Sn 0.249 -5.984 -3.556
Sn -0.347 -1.447 -0.249
Na -1.013 0.742 -2.997
```

---

# 6
DFT (GGA-PBE) results for NpCo4SnC2 after structural relaxation. Values from VASP.

space group	P4/mmm (123)

The structure in Quantum ESPRESSO input format:
```
&SYSTEM
  ibrav = 0, nat = 8, ntyp = 4
/
ATOMIC_SPECIES
Co 58.93 Co.upf
Sn 118.71 Sn.upf
C 12.01 C.upf
Np 237.00 Np.upf
CELL_PARAMETERS angstrom
3.488 0.000 0.000
0.000 3.488 0.000
0.000 0.000 8.514
ATOMIC_POSITIONS angstrom
Co 0.000 1.744 6.498
Co 1.744 0.000 6.498
Co 1.744 0.000 2.016
Co 0.000 1.744 2.016
Sn 0.000 0.000 0.000
C 1.744 1.744 5.744
C 1.744 1.744 2.771
Np 0.000 0.000 4.257
```

---

For the records above, the corresponding calculated volume values read 257.6, 234.9, 134.5, 176.2, 144.2, 103.6 Å³ per cell.
For the records above, the corresponding density of states at the Fermi level values read 0.00, 1.96, 9.03, 4.38, 1.87, 11.31 states/eV/f.u..
For the records above, the corresponding electronic total energy values read -0.167, -0.412, -0.582, -0.123, -0.210, -0.582 Ry/atom.